Entry 1:
# Sc3TeAu | Alexandria | PBEsol | relaxed
data_Sc3TeAu
_chemical_formula_sum 'Sc3 Te1 Au1'
_space_group_name_H-M_alt 'P 1'
_space_group_IT_number 1
_cell_length_a 5.157
_cell_length_b 5.157
_cell_length_c 5.157
_cell_angle_alpha 90.00
_cell_angle_beta 90.00
_cell_angle_gamma 90.00
loop_
_space_group_symop_operation_xyz
'x,y,z'
loop_
_atom_site_label
_atom_site_type_symbol
_atom_site_fract_x
_atom_site_fract_y
_atom_site_fract_z
Sc1 Sc 0.000 0.000 0.500
Sc2 Sc 0.000 0.500 0.000
Sc3 Sc 0.500 0.000 0.000
Te1 Te 0.000 0.000 0.000
Au1 Au 0.500 0.500 0.500
# **Crystal system**: cubic
# **Formation energy without anion corrections**: 0.1480 eV per atom
# **Total energy**: -26.5 eV/f.u.
# **Total magnetic moment**: 0.00 μB/atom
# **Space group**: No. 221



Entry 2:
# LiCa2Si | Alexandria | PBEsol | relaxed
data_LiCa2Si
_chemical_formula_sum 'Li1 Ca2 Si1'
_space_group_name_H-M_alt 'P 1'
_space_group_IT_number 1
_cell_length_a 5.026
_cell_length_b 5.026
_cell_length_c 5.026
_cell_angle_alpha 60.00
_cell_angle_beta 60.00
_cell_angle_gamma 60.00
loop_
_space_group_symop_operation_xyz
'x,y,z'
loop_
_atom_site_label
_atom_site_type_symbol
_atom_site_fract_x
_atom_site_fract_y
_atom_site_fract_z
Li1 Li 0.000 0.000 0.000
Ca1 Ca 0.500 0.500 0.500
Ca2 Ca 0.750 0.750 0.750
Si1 Si 0.250 0.250 0.250
# **Crystal system**: cubic
# **Formation energy without anion corrections**: -0.0872 eV per atom
# **Total energy**: -12.3 eV/f.u.
# **Total magnetic moment**: 0.00 μB/atom
# **Space group**: No. 216



Entry 3:
# LiYCl2 | Alexandria | PBEsol | relaxed
data_LiYCl2
_chemical_formula_sum 'Li1 Y1 Cl2'
_space_group_name_H-M_alt 'P 1'
_space_group_IT_number 1
_cell_length_a 4.718
_cell_length_b 4.718
_cell_length_c 4.718
_cell_angle_alpha 60.00
_cell_angle_beta 60.00
_cell_angle_gamma 60.00
loop_
_space_group_symop_operation_xyz
'x,y,z'
loop_
_atom_site_label
_atom_site_type_symbol
_atom_site_fract_x
_atom_site_fract_y
_atom_site_fract_z
Li1 Li 0.000 0.000 0.000
Y1 Y 0.500 0.500 0.500
Cl1 Cl 0.250 0.250 0.250
Cl2 Cl 0.750 0.750 0.750
# **Crystal system**: cubic
# **Formation energy without anion corrections**: -1.1294 eV per atom
# **Total energy**: -17.3 eV/f.u.
# **Total magnetic moment**: 0.39 μB/atom
# **Excess energy over the best structure of this formula in the dataset**: 433.6 meV/atom
# **Space group**: No. 225



Entry 4:
# ReSb3N | Alexandria | PBEsol | relaxed
data_ReSb3N
_chemical_formula_sum 'Re1 Sb3 N1'
_space_group_name_H-M_alt 'P 1'
_space_group_IT_number 1
_cell_length_a 5.082
_cell_length_b 5.082
_cell_length_c 5.082
_cell_angle_alpha 90.00
_cell_angle_beta 90.00
_cell_angle_gamma 90.00
loop_
_space_group_symop_operation_xyz
'x,y,z'
loop_
_atom_site_label
_atom_site_type_symbol
_atom_site_fract_x
_atom_site_fract_y
_atom_site_fract_z
Re1 Re 0.000 0.000 0.000
Sb1 Sb 0.000 0.000 0.500
Sb2 Sb 0.000 0.500 0.000
Sb3 Sb 0.500 0.000 0.000
N1 N 0.500 0.500 0.500
# **Crystal system**: cubic
# **Formation energy without anion corrections**: 1.5904 eV per atom
# **Total energy**: -27.6 eV/f.u.
# **Total magnetic moment**: 0.20 μB/atom
# **Excess energy over the best structure of this formula in the dataset**: 602.6 meV/atom
# **Space group**: No. 221



Entry 5:
# AlAgGeMo2 | Alexandria | PBEsol | relaxed
data_AlAgGeMo2
_chemical_formula_sum 'Al1 Ag1 Ge1 Mo2'
_space_group_name_H-M_alt 'P 1'
_space_group_IT_number 1
_cell_length_a 4.948
_cell_length_b 4.948
_cell_length_c 4.485
_cell_angle_alpha 90.00
_cell_angle_beta 90.00
_cell_angle_gamma 90.00
loop_
_space_group_symop_operation_xyz
'x,y,z'
loop_
_atom_site_label
_atom_site_type_symbol
_atom_site_fract_x
_atom_site_fract_y
_atom_site_fract_z
Al1 Al 0.000 0.000 0.000
Ag1 Ag 0.500 0.500 0.500
Ge1 Ge 0.500 0.500 0.000
Mo1 Mo 0.000 0.500 0.500
Mo2 Mo 0.500 0.000 0.500
# **Crystal system**: tetragonal
# **Total energy**: -26.1 eV/f.u.
# **ΔH_f (0 K)**: 1961 meV per atom
# **Total magnetic moment**: 0.95 μB/atom
# **Space group**: No. 123



Entry 6:
# CsBe3Tc | Alexandria | PBEsol | relaxed
data_CsBe3Tc
_chemical_formula_sum 'Cs1 Be3 Tc1'
_space_group_name_H-M_alt 'P 1'
_space_group_IT_number 1
_cell_length_a 4.590
_cell_length_b 4.590
_cell_length_c 4.590
_cell_angle_alpha 90.00
_cell_angle_beta 90.00
_cell_angle_gamma 90.00
loop_
_space_group_symop_operation_xyz
'x,y,z'
loop_
_atom_site_label
_atom_site_type_symbol
_atom_site_fract_x
_atom_site_fract_y
_atom_site_fract_z
Cs1 Cs 0.000 0.000 0.000
Be1 Be 0.000 0.500 0.500
Be2 Be 0.500 0.000 0.500
Be3 Be 0.500 0.500 0.000
Tc1 Tc 0.500 0.500 0.500
# **Crystal system**: cubic
# **Total energy**: -18.5 eV/f.u.
# **ΔH_f (0 K)**: 1136 meV per atom
# **Total magnetic moment**: 0.00 μB/atom
# **Excess energy over the best structure of this formula in the dataset**: 0.0 meV/atom
# **Space group**: No. 221



Entry 7:
# RbLiNb2 | Alexandria | PBEsol | relaxed
data_RbLiNb2
_chemical_formula_sum 'Rb2 Li2 Nb4'
_space_group_name_H-M_alt 'P 1'
_space_group_IT_number 1
_cell_length_a 11.786
_cell_length_b 11.786
_cell_length_c 11.786
_cell_angle_alpha 156.94
_cell_angle_beta 156.94
_cell_angle_gamma 32.83
loop_
_space_group_symop_operation_xyz
'x,y,z'
loop_
_atom_site_label
_atom_site_type_symbol
_atom_site_fract_x
_atom_site_fract_y
_atom_site_fract_z
Rb1 Rb 0.375 0.625 0.750
Rb2 Rb 0.625 0.375 0.250
Li1 Li 0.125 0.875 0.250
Li2 Li 0.875 0.125 0.750
Nb1 Nb 0.000 0.000 0.000
Nb2 Nb 0.000 0.000 0.500
Nb3 Nb 0.000 0.500 0.000
Nb4 Nb 0.500 0.000 0.500
# **Crystal system**: tetragonal
# **Total energy**: -18.2 eV/f.u.
# **ΔH_f (0 K)**: 1618 meV per atom
# **Total magnetic moment**: 0.00 μB/atom
# **Space group**: No. 141



Entry 8:
# TaCo2Rh | Alexandria | PBEsol | relaxed
data_TaCo2Rh
_chemical_formula_sum 'Ta1 Co2 Rh1'
_space_group_name_H-M_alt 'P 1'
_space_group_IT_number 1
_cell_length_a 3.703
_cell_length_b 3.703
_cell_length_c 3.636
_cell_angle_alpha 90.00
_cell_angle_beta 90.00
_cell_angle_gamma 90.00
loop_
_space_group_symop_operation_xyz
'x,y,z'
loop_
_atom_site_label
_atom_site_type_symbol
_atom_site_fract_x
_atom_site_fract_y
_atom_site_fract_z
Ta1 Ta 0.000 0.000 0.000
Co1 Co 0.000 0.500 0.500
Co2 Co 0.500 0.000 0.500
Rh1 Rh 0.500 0.500 0.000
# **Crystal system**: tetragonal
# **Total energy**: -37.6 eV/f.u.
# **ΔH_f (0 K)**: -367 meV per atom
# **Total magnetic moment**: 0.00 μB/atom
# **Excess energy over the best structure of this formula in the dataset**: 0.0 meV/atom
# **Space group**: No. 123